Arrangement 1

An optimized crystal structure of VAg2HgO4, computed with GGA+U.

```
VAg2HgO4
1.0
0.0000 3.8988 4.9329
3.3859 0.0000 4.9329
3.3859 3.8988 0.0000
V Ag Hg O
1 2 1 4
Cartesian
0.0000 0.0000 0.0000
1.6930 1.9494 2.6275
5.0789 5.8483 7.5604
3.3859 3.8988 5.5386
5.3089 3.8988 3.9264
3.3859 1.4136 5.9563
1.4630 3.8988 3.9264
3.3859 6.3841 5.9563
```

Computed properties:
* space-group type: Fmm2, No. 42
* Fermi-level density of states: 0.210 states/eV per atom
* magnetization: 0.00 μB/f.u.
* crystal system: orthorhombic
* volume: 16.28 Å³ per atom

***

Arrangement 2

An optimized crystal structure of VAg2HgO4, computed with GGA+U.

```
VAg2HgO4
1.0
-6.4573 6.4573 6.4524
6.4573 -6.4573 6.4524
6.4573 6.4573 -6.4524
V Ag Hg O
8 16 8 32
Cartesian
8.2841 1.3377 0.2138
5.1196 4.6306 -3.0124
1.3377 4.6306 -0.2138
1.3377 1.8268 3.4400
5.1196 1.8268 6.2386
1.8268 -1.3377 9.4648
4.6306 7.7950 3.0124
-1.8268 5.1196 6.6662
1.2429 -0.8640 1.0501
7.3213 -5.2145 5.4023
8.4395 3.7134 -2.3840
11.6718 0.8640 1.0501
3.7134 1.9822 0.8422
4.4751 -2.7440 5.6102
-1.9822 2.7440 4.0684
3.7134 4.4751 2.3840
-1.2429 5.5934 2.1761
1.9822 9.2013 -0.8422
0.8640 5.2145 4.2763
1.2429 7.3213 2.1761
5.5934 5.2145 5.4023
2.7440 1.9822 8.8364
2.7440 4.4751 7.2946
-0.8640 7.7002 4.2763
7.1777 -2.4888 2.7770
3.9685 -0.7204 3.6754
8.9461 0.7204 3.6754
5.7369 3.9685 0.4492
5.7369 2.4888 2.7770
2.4888 -0.7204 6.0032
3.9685 7.1777 -0.4492
0.7204 2.4888 6.9016
5.1851 -1.3153 1.9052
6.7446 4.7342 -3.6342
4.0139 5.6323 -3.9371
7.2823 2.4434 -0.7109
9.9502 1.8498 0.1171
1.8498 2.9644 -0.1171
7.7295 1.3153 1.9052
7.7726 -1.2722 4.5472
2.4434 0.8250 2.5153
5.1421 5.1851 -1.3210
-0.2872 1.7232 2.8182
-0.2872 4.7342 0.4080
5.1421 1.2722 4.5472
2.4434 5.6323 0.7109
1.3153 1.2722 5.1314
7.7295 5.1421 1.3210
1.8498 3.4929 3.3433
-2.9644 4.6076 3.1091
7.2823 4.0139 3.9371
4.0139 0.8250 7.1633
0.2872 8.1805 0.4080
-1.2722 1.3153 7.7734
-0.8250 4.0139 5.7415
4.7342 6.1701 3.6342
4.6076 3.4929 6.3353
1.7232 0.2872 10.0866
-3.4929 4.6076 6.5695
2.9644 8.3071 3.1091
1.7232 6.1701 6.0444
-1.8498 9.4218 3.3433
-1.7232 6.7446 6.0444
-0.8250 2.4434 10.3895
```

Computed properties:
* space-group type: I-42d, No. 122
* magnetization: 0.00 μB/f.u.
* crystal system: tetragonal
* volume: 16.82 Å³ per atom

***

Order from most stable to least stable according to the calculation: arrangement 2, arrangement 1